Below is a geometry-optimized Pr3DyHo structure, with properties calculated at the PBE level.

Cell lengths 9.6494, 9.6494, 6.2982 Å; angles 96.06, 96.06, 141.96 degrees
Last column: nearest neighbours and their distance in Å.
Atoms (fractional coordinates):
Pr  0.0520  0.9480  0.7500  7 Pr 3.61-3.68, 2 Ho 3.62, 3 Dy 3.63-3.70
Pr  0.2499  0.7501  0.7500  4 Pr 3.61-3.66, 4 Ho 3.63-3.64, 4 Dy 3.63
Pr  0.4482  0.5518  0.7500  7 Pr 3.62-3.67, 2 Dy 3.62, 3 Ho 3.63-3.69
Pr  0.5518  0.4482  0.2500  7 Pr 3.62-3.67, 2 Dy 3.62, 3 Ho 3.63-3.69
Pr  0.7501  0.2499  0.2500  4 Pr 3.61-3.66, 4 Ho 3.63-3.64, 4 Dy 3.63
Pr  0.9480  0.0520  0.2500  7 Pr 3.61-3.68, 2 Ho 3.62, 3 Dy 3.63-3.70
Dy  0.1506  0.8494  0.2500  9 Pr 3.62-3.70, 3 Ho 3.63-3.66
Dy  0.8494  0.1506  0.7500  9 Pr 3.62-3.70, 3 Ho 3.63-3.66
Ho  0.3494  0.6506  0.2500  9 Pr 3.62-3.69, 3 Dy 3.63-3.66
Ho  0.6506  0.3494  0.7500  9 Pr 3.62-3.69, 3 Dy 3.63-3.66

Calculated values
Magnetic moment   0.0 μB/f.u.
Formation enthalpy at 0 K   0.02 eV per atom
ΔE to the lowest computed polymorph   0.0000 eV/atom